(1)
The following is a DFT calculation (PBE) of KBi2O3 after structural relaxation.

```
KBi2O3
1.0
6.8431 0.0000 0.0000
0.0000 5.6971 2.3399
0.0000 0.8177 6.1044
O Bi K
6 4 2
direct
0.7500 0.4999 0.9359 O
0.7500 0.9360 0.0640 O
0.7500 0.0641 0.5001 O
0.2500 0.5001 0.0641 O
0.2500 0.0640 0.9360 O
0.2500 0.9359 0.4999 O
0.5000 0.8333 0.8333 Bi
0.0000 0.1667 0.1667 Bi
0.5000 0.1667 0.1667 Bi
0.0000 0.8333 0.8333 Bi
0.7500 0.5005 0.4995 K
0.2500 0.4995 0.5005 K
```

- calculated total energy (Ry per atom) = -0.3605

(2)
The following is a DFT calculation (PBE) of Sb2AsPdF after structural relaxation.

```
Sb2AsPdF
1.0
5.2388 0.0000 0.0000
0.0000 4.1159 0.0000
0.0000 0.0000 5.2388
Sb F As Pd
2 1 1 1
direct
0.0000 0.0000 0.5000 Sb
0.5000 0.0000 0.0000 Sb
0.0000 0.5000 0.0000 F
0.5000 0.5000 0.5000 As
0.0000 0.0000 0.0000 Pd
```

- calculated total energy (Ry per atom) = -0.3053

> Look up the calculated total energy of the first one.

-0.3605 Ry per atom